1.
Material: Cu2ReTe
Method: DFT, PBE
State: optimized geometry

```
4
Lattice="4.9648 -1.6139 0.0000 4.9648 1.6139 0.0000 -1.8578 0.0000 3.8991" Properties=species:S:1:pos:R:3 pbc="T T T"
Cu 2.0051 0.0000 0.9720
Cu 6.0668 0.0000 2.9270
Re -0.9289 0.0000 1.9495
Te 4.9648 0.0000 0.0000
```

Computed properties:
**Space-group type**: No. 12
**E_form (uncorrected)**: 661.6 meV per atom

=====

2.
Material: Cu2ReTe
Method: DFT, PBE
State: optimized geometry

```
4
Lattice="2.8224 0.0000 0.0000 0.0000 3.7606 0.0000 -0.2016 0.0000 6.3538" Properties=species:S:1:pos:R:3 pbc="T T T"
Cu -0.0105 0.0000 1.2494
Cu 2.6313 0.0000 5.1044
Re 1.4112 1.8803 0.0000
Te -0.1008 1.8803 3.1769
```

Computed properties:
**Space-group type**: No. 10
**E_form (uncorrected)**: 650.2 meV per atom